DFT (PBE) results for an optimized crystal structure of TlSi3.

Computed properties:
The size of the total moment comes out at 0.0 μB per formula unit. The value obtained for the uncorrected formation energy is 451 meV/atom. The value obtained for the calculated volume is 173.2 Å³ per cell.

POSCAR file:
```
TlSi3
1.0
-6.4732 0.0636 2.4849
5.3385 -1.1876 4.2627
0.3218 4.0809 0.7339
Si Tl
6 2
Direct
0.1264 0.2528 0.7500
0.8736 0.7472 0.2500
0.7472 0.8736 0.7500
0.8736 0.1264 0.2500
0.2528 0.1264 0.2500
0.1264 0.8736 0.7500
0.3333 0.6667 0.2500
0.6667 0.3333 0.7500
```